First-principles (PBE with a Hubbard U) data for a relaxed RbMnGeO4 crystal, as listed in Alexandria.

As for the symmetry: No. 11. The total energy comes out at -6.259 eV per atom.

```
RbMnGeO4
1.0
5.355 0.000 -0.728
0.000 5.710 0.000
-3.064 0.000 7.664
O Ge Mn Rb
8 2 2 2
direct
0.978 0.519 0.333
0.601 0.250 0.781
0.533 0.750 0.567
0.399 0.750 0.219
0.467 0.250 0.433
0.978 0.981 0.333
0.022 0.019 0.667
0.022 0.481 0.667
0.790 0.250 0.654
0.210 0.750 0.346
0.218 0.250 0.535
0.782 0.750 0.465
0.556 0.750 0.900
0.444 0.250 0.100
```